[1]
The following is a PBE calculation of a geometry-optimized SrSiSb structure, from the Alexandria database.

Output
Final energy = -4.1820 eV per atom
Total magnetization = 0.00 μB/f.u.
Offset from the most stable computed form = 0.0386 eV/atom
E_form (uncorrected) = -0.440 eV/atom
Symmetry = P-1, No. 2

Cell and atoms, written as POSCAR:
```
SrSiSb
1.0
-3.543 2.267 -1.375
-2.459 -3.846 -4.311
-5.369 -3.653 2.803
Sr Sb Si
2 2 2
direct
0.848 0.160 0.724
0.152 0.840 0.276
0.477 0.289 0.302
0.523 0.711 0.698
0.781 0.629 0.033
0.219 0.371 0.967
```

[2]
The following is a PBE calculation of a geometry-optimized Al3SbBr structure, from the Alexandria database.

Output
Final energy = -2.6507 eV per atom
Total magnetization = 0.00 μB/f.u.
Offset from the most stable computed form = 0.1316 eV/atom
E_form (uncorrected) = 0.754 eV/atom
Symmetry = Pm-3m, No. 221

Cell and atoms, written as POSCAR:
```
Al3SbBr
1.0
-0.066 4.757 2.216
-5.226 0.141 -0.458
-0.475 -2.213 4.735
Al Sb Br
3 1 1
direct
0.000 0.500 0.000
0.500 0.000 0.000
0.000 0.000 0.500
0.500 0.500 0.500
0.000 0.000 0.000
```

[3]
The following is a PBE calculation of a geometry-optimized AlPCl2 structure, from the Alexandria database.

Output
Final energy = -2.7950 eV per atom
Total magnetization = 0.00 μB/f.u.
Offset from the most stable computed form = 1.0617 eV/atom
E_form (uncorrected) = 0.416 eV/atom
Symmetry = Cmmm, No. 65

Cell and atoms, written as POSCAR:
```
AlPCl2
1.0
-3.606 3.107 1.823
2.636 -1.649 4.039
1.926 2.398 -0.278
P Al Cl
1 1 2
direct
0.500 0.000 0.500
0.000 0.500 0.500
0.000 0.000 0.000
0.500 0.500 0.000
```

[4]
The following is a PBE calculation of a geometry-optimized KBeRh2O structure, from the Alexandria database.

Output
Final energy = -4.5274 eV per atom
Total magnetization = 0.00 μB/f.u.
E_form (uncorrected) = 0.370 eV/atom
Symmetry = P4/mmm, No. 123

Cell and atoms, written as POSCAR:
```
KBeRh2O
1.0
-3.421 -2.168 0.637
0.742 -2.170 -3.399
2.452 -3.126 2.531
Rh K Be O
2 1 1 1
direct
0.500 0.000 0.000
0.000 0.500 0.000
0.000 0.000 0.500
0.500 0.500 0.500
0.000 0.000 0.000
```

[5]
The following is a PBE calculation of a geometry-optimized Cr5Fe3 structure, from the Alexandria database.

Output
Final energy = -9.1302 eV per atom
Total magnetization = 1.73 μB/f.u.
Offset from the most stable computed form = 0.0000 eV/atom
Formation enthalpy at 0 K = 1.33 kcal/mol of atoms
Symmetry = Cmmm, No. 65

Cell and atoms, written as POSCAR:
```
Cr5Fe3
1.0
2.436 0.051 0.000
-0.772 2.311 0.000
0.000 0.000 16.101
Fe Cr
3 5
direct
0.500 0.500 0.000
0.000 0.000 0.124
0.000 0.000 0.876
0.500 0.500 0.753
0.500 0.500 0.247
0.500 0.500 0.500
0.000 0.000 0.626
0.000 0.000 0.374
```

[6]
The following is a PBE calculation of a geometry-optimized LaCu3As structure, from the Alexandria database.

Output
Final energy = -4.3165 eV per atom
Total magnetization = 0.00 μB/f.u.
Offset from the most stable computed form = 0.0000 eV/atom
Formation enthalpy at 0 K = 1.30 kcal/mol of atoms
Symmetry = Pm-3m, No. 221

Cell and atoms, written as POSCAR:
```
LaCu3As
1.0
4.656 0.000 0.000
0.000 4.656 0.000
0.000 0.000 4.656
La Cu As
1 3 1
direct
0.500 0.500 0.500
0.500 0.000 0.000
0.000 0.000 0.500
0.000 0.500 0.000
0.000 0.000 0.000
```